SrTbPr2 | Alexandria | PBE | optimized geometry; formation enthalpy at 0 K = 0.0784 eV/atom; Fermi-level density of states = 5.72 states/eV per cell; total magnetization = 0.00 μB per cell
1.0
3.7621 0.0000 0.0000
0.0000 3.7621 0.0000
0.0000 0.0000 10.8220
Sr Tb Pr
1 1 2
direct
0.0000 0.0000 0.0000
0.0000 0.0000 0.5000
0.5000 0.5000 0.2764
0.5000 0.5000 0.7236



SrTbPr4 | Alexandria | PBE | optimized geometry; formation enthalpy at 0 K = 0.2317 eV/atom; Fermi-level density of states = 9.59 states/eV per cell; total magnetization = 0.00 μB per cell
1.0
0.0000 4.9009 4.9009
4.9009 0.0000 4.9009
4.9009 4.9009 0.0000
Sr Tb Pr
1 1 4
direct
0.0000 0.0000 0.0000
0.7500 0.7500 0.7500
0.3781 0.3781 0.3781
0.3781 0.3781 0.8657
0.3781 0.8657 0.3781
0.8657 0.3781 0.3781



SrTbPr2 | Alexandria | PBE | optimized geometry; formation enthalpy at 0 K = 0.0844 eV/atom; Fermi-level density of states = 5.17 states/eV per cell; total magnetization = 0.00 μB per cell
1.0
1.8795 1.0851 12.4751
-1.8795 1.0851 12.4751
0.0000 -2.1702 12.4751
Sr Tb Pr
1 1 2
direct
0.0000 0.0000 0.0000
0.8337 0.8337 0.8337
0.2435 0.2435 0.2435
0.4233 0.4233 0.4233



SrTbPr | Alexandria | PBE | optimized geometry; formation enthalpy at 0 K = 0.0988 eV/atom; Fermi-level density of states = 4.00 states/eV per cell; total magnetization = 0.00 μB per cell
1.0
-1.8968 1.8968 8.1678
1.8968 -1.8968 8.1678
1.8968 1.8968 -8.1678
Sr Tb Pr
1 1 1
direct
0.0000 0.0000 0.0000
0.3229 0.3229 0.0000
0.6818 0.6818 0.0000



SrTbPr2 | Alexandria | PBE | optimized geometry; formation enthalpy at 0 K = 0.1720 eV/atom; Fermi-level density of states = 5.77 states/eV per cell; total magnetization = 0.00 μB per cell
1.0
1.8470 1.0664 13.1766
-1.8470 1.0664 13.1766
0.0000 -2.1327 13.1766
Sr Tb Pr
1 1 2
direct
0.0000 0.0000 0.0000
0.5000 0.5000 0.5000
0.0933 0.0933 0.0933
0.9067 0.9067 0.9067



SrTb2Pr6 | Alexandria | PBE | optimized geometry; formation enthalpy at 0 K = 0.0593 eV/atom; Fermi-level density of states = 14.00 states/eV per cell; total magnetization = 0.00 μB per cell
1.0
7.9237 -2.6255 0.0000
7.9237 2.6255 0.0000
-2.6735 0.0000 7.9129
Sr Tb Pr
1 2 6
direct
0.0000 0.0000 0.0000
0.1122 0.1122 0.6577
0.8878 0.8878 0.3423
0.2260 0.2260 0.3392
0.3266 0.3266 0.0038
0.4438 0.4438 0.6525
0.5562 0.5562 0.3475
0.6734 0.6734 0.9962
0.7740 0.7740 0.6608



SrTb2Pr | Alexandria | PBE | optimized geometry; formation enthalpy at 0 K = 0.1150 eV/atom; Fermi-level density of states = 6.06 states/eV per cell; total magnetization = 0.00 μB per cell
1.0
1.8623 1.0752 12.2677
-1.8623 1.0752 12.2677
0.0000 -2.1504 12.2677
Sr Tb Pr
1 2 1
direct
0.0000 0.0000 0.0000
0.2454 0.2454 0.2454
0.4224 0.4224 0.4224
0.8344 0.8344 0.8344



Sr3Tb2PrTe6 | Alexandria | PBE | optimized geometry; formation energy without anion corrections = -1.52 eV/atom; Fermi-level density of states = 5.23 states/eV per cell; total magnetization = 0.00 μB per cell
1.0
10.0304 -2.2602 0.0000
10.0304 2.2602 0.0000
-2.3669 0.0000 8.9165
Sr Tb Pr Te
3 2 1 6
direct
0.0000 0.0000 0.0000
0.3357 0.3357 0.6683
0.6643 0.6643 0.3317
0.3361 0.3361 0.1731
0.6639 0.6639 0.8269
0.0000 0.0000 0.5000
0.1669 0.1669 0.5943
0.1722 0.1722 0.0705
0.4957 0.4957 0.2500
0.5043 0.5043 0.7500
0.8278 0.8278 0.9295
0.8331 0.8331 0.4057



SrTb3Pr2Te6 | Alexandria | PBE | optimized geometry; formation energy without anion corrections = -1.42 eV/atom; Fermi-level density of states = 5.73 states/eV per cell; total magnetization = 0.00 μB per cell
1.0
9.8045 -2.2277 0.0000
9.8045 2.2277 0.0000
-2.2038 0.0000 8.7499
Sr Tb Pr Te
1 3 2 6
direct
0.0000 0.0000 0.0000
0.0000 0.0000 0.5000
0.3329 0.3329 0.1757
0.6671 0.6671 0.8243
0.3270 0.3270 0.6542
0.6730 0.6730 0.3458
0.1610 0.1610 0.5893
0.1705 0.1705 0.0756
0.4993 0.4993 0.2601
0.5007 0.5007 0.7399
0.8295 0.8295 0.9244
0.8390 0.8390 0.4107



SrTb2Pr3Te6 | Alexandria | PBE | optimized geometry; formation energy without anion corrections = -1.43 eV/atom; Fermi-level density of states = 5.91 states/eV per cell; total magnetization = 0.00 μB per cell
1.0
9.8435 -2.2382 0.0000
9.8435 2.2382 0.0000
-2.2206 0.0000 8.8143
Sr Tb Pr Te
1 2 3 6
direct
0.0000 0.0000 0.0000
0.3305 0.3305 0.6607
0.6695 0.6695 0.3393
0.0000 0.0000 0.5000
0.3383 0.3383 0.1809
0.6617 0.6617 0.8191
0.1683 0.1683 0.5729
0.1701 0.1701 0.0902
0.4935 0.4935 0.7453
0.5065 0.5065 0.2547
0.8299 0.8299 0.9098
0.8317 0.8317 0.4271



SrPr3Tc | Alexandria | PBE | optimized geometry; formation enthalpy at 0 K = 0.1231 eV/atom; Fermi-level density of states = 4.18 states/eV per cell; total magnetization = 0.00 μB per cell
1.0
5.6696 0.0000 0.0000
0.0000 5.6696 0.0000
0.0000 0.0000 5.6696
Sr Pr Tc
1 3 1
direct
0.0000 0.0000 0.0000
0.0000 0.5000 0.5000
0.5000 0.0000 0.5000
0.5000 0.5000 0.0000
0.5000 0.5000 0.5000



Sr2PrTe3 | Alexandria | PBE | optimized geometry; formation energy without anion corrections = -1.61 eV/atom; Fermi-level density of states = 2.29 states/eV per cell; total magnetization = 0.00 μB per cell
1.0
-2.3170 3.2943 7.0198
2.3170 -3.2943 7.0198
2.3170 3.2943 -7.0198
Sr Pr Te
2 1 3
direct
0.1685 0.1685 0.0000
0.8315 0.8315 0.0000
0.5000 0.5000 0.0000
0.0000 0.5000 0.5000
0.3383 0.8383 0.5000
0.6617 0.1617 0.5000



What is the Fermi-level density of states in the eleventh record?
4.18 states/eV per cell